A plane-wave DFT calculation with GGA-PBE was carried out for La3Pm6PrDy2 after structural relaxation.

Summary:
Mass density: 6.97 g cm⁻³
Calculated volume: 417 Å³/cell
Energy: -4.75 eV/atom
Crystal system: monoclinic

Unit cell a=6.3439 b=6.3439 c=12.1668 alpha=95.02 beta=95.02 gamma=120.03
Sites, in units of the cell vectors:
La: 0.1673 0.8327 0.5000
La: 0.8327 0.1673 0.5000
La: 0.5000 0.5000 0.5000
Pm: 0.9182 0.5836 0.7542
Pm: 0.7474 0.7474 0.2460
Pm: 0.0818 0.4164 0.2458
Pm: 0.5836 0.9182 0.7542
Pm: 0.2526 0.2526 0.7540
Pm: 0.4164 0.0818 0.2458
Pr: 0.0000 0.0000 0.0000
Dy: 0.3333 0.6667 0.0000
Dy: 0.6667 0.3333 0.0000

---

A plane-wave DFT calculation with GGA-PBE was carried out for ZrNi2As after structural relaxation.

Summary:
Mass density: 8.02 g cm⁻³
Calculated volume: 59 Å³/cell
Energy: -6.63 eV/atom
Crystal system: tetragonal

Unit cell a=3.8652 b=3.8665 c=3.9305 alpha=90.00 beta=90.00 gamma=90.00
Sites, in units of the cell vectors:
As: 0.0000 0.5000 0.5000
Ni: 0.0000 0.0000 0.0000
Ni: 0.5000 0.5000 0.0000
Zr: 0.5000 0.0000 0.5000

---

A plane-wave DFT calculation with GGA-PBE was carried out for Ta2MoAsOs after structural relaxation.

Summary:
Mass density: 12.40 g cm⁻³
Relative energy among the computed polymorphs: 0.0 kJ/mol of formula units
Calculated volume: 97 Å³/cell
Crystal system: tetragonal

Unit cell a=4.6443 b=4.4891 c=4.6443 alpha=90.00 beta=90.00 gamma=90.00
Sites, in units of the cell vectors:
Mo: 0.0000 0.5000 0.0000
Os: 0.5000 0.5000 0.5000
As: 0.0000 0.0000 0.0000
Ta: 0.0000 0.0000 0.5000
Ta: 0.5000 0.0000 0.0000

---

A plane-wave DFT calculation with GGA-PBE was carried out for SbPb2O6 after structural relaxation.

Summary:
Mass density: 7.95 g cm⁻³
ΔE_f (raw): -972 meV/atom
Relative energy among the computed polymorphs: 27.0 kJ/mol of formula units
Calculated volume: 132 Å³/cell
Crystal system: triclinic

Unit cell a=4.8757 b=5.6931 c=5.9398 alpha=108.60 beta=107.86 gamma=108.56
Sites, in units of the cell vectors:
Sb: 0.0000 0.0000 0.0000
Pb: 0.5395 0.6923 0.3246
Pb: 0.4605 0.3077 0.6754
O: 0.1369 0.3533 0.3306
O: 0.7873 0.1017 0.7173
O: 0.8631 0.6467 0.6694
O: 0.4210 0.2453 0.0174
O: 0.2127 0.8983 0.2827
O: 0.5790 0.7547 0.9826